! MgGa4Sn PBE-GGA optimized geometry; values from VASP
&SYSTEM
  ibrav = 0, nat = 6, ntyp = 3
/
ATOMIC_SPECIES
Mg 24.30 Mg.upf
Ga 69.72 Ga.upf
Sn 118.71 Sn.upf
CELL_PARAMETERS angstrom
0.000 3.980 3.980
3.980 0.000 3.980
3.980 3.980 0.000
ATOMIC_POSITIONS angstrom
Mg 0.000 0.000 0.000
Ga 4.980 2.980 2.980
Ga 2.980 4.980 2.980
Ga 2.980 2.980 4.980
Ga 4.980 4.980 4.980
Sn 1.990 1.990 1.990
! ΔH_f (0 K) = 0.53 kcal/mol of atoms
! Spin magnetization = 0.00 μB per formula unit
! Space group = F-43m (216)